LiV3F | PBE with a Hubbard U | relaxed

a b c (Å): 4.521 4.521 4.521
angles (deg): 90.00 90.00 90.00
Site moments in Bohr magnetons follow the coordinates.
Fractional coordinates of all 5 atoms:
1 V 0.000 0.000 0.500  2.87
2 V 0.500 0.000 0.000  2.87
3 V 0.000 0.500 0.000  2.87
4 Li 0.500 0.500 0.500  -0.03
5 F 0.000 0.000 0.000  0.04

Summary:
Energy above the most stable polymorph in this dataset in meV/atom: 0.0
E in eV/atom: -4.739
Symmetry: Pm-3m, No. 221